## one
DFT (GGA-PBE) results for a geometry-optimized Er2PuGe structure.

Summary:
The space-group type is No. 166.

a = 3.543 Å, b = 3.543 Å, c = 10.154 Å
α = 79.95°, β = 79.95°, γ = 60.00°
Atoms (fractional coordinates):
Ge (0.000, 0.000, 0.000)
Er (0.263, 0.263, 0.210)
Er (0.737, 0.737, 0.790)
Pu (0.500, 0.500, 0.500)

## two
DFT (GGA-PBE) results for a geometry-optimized Er2PuGe structure.

Summary:
The space-group type is No. 123.

a = 4.438 Å, b = 4.691 Å, c = 4.691 Å
α = 90.00°, β = 90.00°, γ = 90.00°
Atoms (fractional coordinates):
Ge (0.500, 0.000, 0.000)
Er (0.000, 0.000, 0.500)
Er (0.000, 0.500, 0.000)
Pu (0.500, 0.500, 0.500)

Stability check: which of them is least stable? one.

## one
DFT (GGA-PBE) results for a geometry-optimized ErGe2Rh4 structure.

Summary:
The space-group type is No. 136.

a = 3.873 Å, b = 7.700 Å, c = 7.700 Å
α = 90.00°, β = 90.00°, γ = 90.00°
Atoms (fractional coordinates):
Er (0.500, 0.000, 0.000)
Er (0.000, 0.500, 0.500)
Ge (0.000, 0.227, 0.773)
Ge (0.000, 0.773, 0.227)
Ge (0.500, 0.727, 0.727)
Ge (0.500, 0.273, 0.273)
Rh (0.000, 0.076, 0.335)
Rh (0.000, 0.924, 0.665)
Rh (0.500, 0.165, 0.576)
Rh (0.500, 0.835, 0.424)
Rh (0.500, 0.424, 0.835)
Rh (0.500, 0.576, 0.165)
Rh (0.000, 0.335, 0.076)
Rh (0.000, 0.665, 0.924)

## two
DFT (GGA-PBE) results for a geometry-optimized ErGe2Rh4 structure.

Summary:
The space-group type is No. 71.

a = 3.804 Å, b = 3.928 Å, c = 8.593 Å
α = 103.21°, β = 77.25°, γ = 89.97°
Atoms (fractional coordinates):
Ge (0.853, 0.647, 0.293)
Ge (0.147, 0.353, 0.707)
Rh (0.376, 0.123, 0.248)
Rh (0.624, 0.877, 0.752)
Rh (0.255, 0.745, 0.490)
Rh (0.745, 0.255, 0.510)
Er (0.000, 0.000, 0.000)

Stability check: which of them is least stable? two.

## one
DFT (GGA-PBE) results for a geometry-optimized Er2Ge3Ru structure.

Summary:
The space-group type is No. 8.

a = 4.398 Å, b = 5.570 Å, c = 5.734 Å
α = 75.78°, β = 67.45°, γ = 66.75°
Atoms (fractional coordinates):
Er (0.544, 0.199, 0.713)
Er (0.437, 0.812, 0.313)
Ge (0.867, 0.603, 0.663)
Ge (0.812, 0.251, 0.125)
Ge (0.169, 0.754, 0.908)
Ru (0.170, 0.381, 0.278)

## two
DFT (GGA-PBE) results for a geometry-optimized Er2Ge3Ru structure.

Summary:
The space-group type is No. 36.

a = 5.739 Å, b = 6.572 Å, c = 6.572 Å
α = 95.16°, β = 90.00°, γ = 90.00°
Atoms (fractional coordinates):
Er (0.760, 0.128, 0.461)
Er (0.260, 0.539, 0.872)
Er (0.260, 0.872, 0.539)
Er (0.760, 0.461, 0.128)
Ge (0.510, 0.154, 0.846)
Ge (0.010, 0.154, 0.846)
Ge (0.267, 0.425, 0.425)
Ge (0.767, 0.575, 0.575)
Ge (0.010, 0.846, 0.154)
Ge (0.510, 0.846, 0.154)
Ru (0.760, 0.839, 0.839)
Ru (0.260, 0.161, 0.161)

Stability check: which of them is least stable? two.

## one
DFT (GGA-PBE) results for a geometry-optimized Er2GeRu2 structure.

Summary:
The space-group type is No. 15.

a = 5.432 Å, b = 5.661 Å, c = 7.633 Å
α = 102.46°, β = 90.00°, γ = 118.67°
Atoms (fractional coordinates):
Er (0.492, 0.286, 0.144)
Er (0.206, 0.714, 0.356)
Er (0.508, 0.714, 0.856)
Er (0.794, 0.286, 0.644)
Ge (0.882, 0.000, 0.250)
Ge (0.118, 0.000, 0.750)
Ru (0.709, 0.724, 0.488)
Ru (0.986, 0.276, 0.012)
Ru (0.291, 0.276, 0.512)
Ru (0.014, 0.724, 0.988)

## two
DFT (GGA-PBE) results for a geometry-optimized Er2GeRu2 structure.

Summary:
The space-group type is No. 71.

a = 3.992 Å, b = 5.790 Å, c = 5.533 Å
α = 121.55°, β = 111.15°, γ = 90.00°
Atoms (fractional coordinates):
Er (0.793, 0.293, 0.586)
Er (0.207, 0.707, 0.414)
Ge (0.000, 0.000, 0.000)
Ru (0.500, 0.727, 0.000)
Ru (0.500, 0.273, 0.000)

Stability check: which of them is least stable? two.

## one
DFT (GGA-PBE) results for a geometry-optimized ErTmGeRu structure.

Summary:
The space-group type is No. 38.

a = 4.197 Å, b = 3.823 Å, c = 5.764 Å
α = 90.00°, β = 111.35°, γ = 90.00°
Atoms (fractional coordinates):
Er (0.135, 0.000, 0.271)
Tm (0.853, 0.500, 0.705)
Ge (0.428, 0.000, 0.855)
Ru (0.584, 0.500, 0.169)

## two
DFT (GGA-PBE) results for a geometry-optimized ErTmGeRu structure.

Summary:
The space-group type is No. 216.

a = 4.871 Å, b = 4.871 Å, c = 4.871 Å
α = 60.00°, β = 60.00°, γ = 60.00°
Atoms (fractional coordinates):
Ru (0.750, 0.750, 0.750)
Ge (0.250, 0.250, 0.250)
Tm (0.500, 0.500, 0.500)
Er (0.000, 0.000, 0.000)

Stability check: which of them is least stable? two.

## one
DFT (GGA-PBE) results for a geometry-optimized Er2GeS structure.

Summary:
The space-group type is No. 160.

a = 3.953 Å, b = 3.953 Å, c = 7.293 Å
α = 74.28°, β = 74.28°, γ = 60.00°
Atoms (fractional coordinates):
Er (0.080, 0.080, 0.759)
Er (0.254, 0.254, 0.237)
Ge (0.668, 0.668, 0.997)
S (0.498, 0.498, 0.507)

## two
DFT (GGA-PBE) results for a geometry-optimized Er2GeS structure.

Summary:
The space-group type is No. 166.

a = 4.004 Å, b = 4.004 Å, c = 6.968 Å
α = 89.99°, β = 106.71°, γ = 120.00°
Atoms (fractional coordinates):
Er (0.499, 0.250, 0.749)
Er (0.501, 0.750, 0.251)
Ge (0.000, 0.500, 0.500)
S (0.000, 0.000, 0.000)

## three
DFT (GGA-PBE) results for a geometry-optimized Er2GeS structure.

Summary:
The space-group type is No. 141.

a = 5.659 Å, b = 5.659 Å, c = 11.328 Å
α = 90.00°, β = 90.00°, γ = 90.00°
Atoms (fractional coordinates):
Er (0.750, 0.000, 0.873)
Er (0.250, 0.000, 0.127)
Er (0.750, 0.500, 0.627)
Er (0.250, 0.500, 0.373)
Er (0.750, 0.500, 0.123)
Er (0.250, 0.500, 0.877)
Er (0.750, 0.000, 0.377)
Er (0.250, 0.000, 0.623)
Ge (0.250, 0.500, 0.625)
Ge (0.750, 0.500, 0.375)
Ge (0.250, 0.000, 0.875)
Ge (0.750, 0.000, 0.125)
S (0.250, 0.000, 0.375)
S (0.750, 0.000, 0.625)
S (0.250, 0.500, 0.125)
S (0.750, 0.500, 0.875)

Stability check: which of them is least stable? one.

## one
DFT (GGA-PBE) results for a geometry-optimized Er2GeSb structure.

Summary:
The space-group type is No. 63.

a = 4.138 Å, b = 4.329 Å, c = 11.685 Å
α = 100.67°, β = 90.00°, γ = 90.00°
Atoms (fractional coordinates):
Er (0.750, 0.676, 0.353)
Er (0.250, 0.324, 0.647)
Er (0.750, 0.940, 0.879)
Er (0.250, 0.060, 0.121)
Ge (0.250, 0.457, 0.914)
Ge (0.750, 0.543, 0.086)
Sb (0.250, 0.190, 0.379)
Sb (0.750, 0.810, 0.621)

## two
DFT (GGA-PBE) results for a geometry-optimized Er2GeSb structure.

Summary:
The space-group type is No. 166.

a = 4.146 Å, b = 4.146 Å, c = 7.574 Å
α = 74.12°, β = 74.12°, γ = 60.00°
Atoms (fractional coordinates):
Sb (0.500, 0.500, 0.500)
Ge (0.000, 0.000, 0.000)
Er (0.745, 0.745, 0.766)
Er (0.255, 0.255, 0.234)

Stability check: which of them is least stable? two.

## one
DFT (GGA-PBE) results for a geometry-optimized ErSc2Ge structure.

Summary:
The space-group type is No. 63.

a = 3.973 Å, b = 5.986 Å, c = 8.481 Å
α = 90.00°, β = 90.00°, γ = 109.38°
Atoms (fractional coordinates):
Er (0.941, 0.882, 0.250)
Er (0.059, 0.118, 0.750)
Sc (0.358, 0.717, 0.557)
Sc (0.642, 0.283, 0.443)
Sc (0.358, 0.717, 0.943)
Sc (0.642, 0.283, 0.057)
Ge (0.758, 0.516, 0.750)
Ge (0.242, 0.484, 0.250)

## two
DFT (GGA-PBE) results for a geometry-optimized ErSc2Ge structure.

Summary:
The space-group type is No. 123.

a = 4.463 Å, b = 4.438 Å, c = 4.438 Å
α = 90.00°, β = 90.00°, γ = 90.00°
Atoms (fractional coordinates):
Sc (0.000, 0.000, 0.500)
Sc (0.000, 0.500, 0.000)
Ge (0.500, 0.500, 0.500)
Er (0.500, 0.000, 0.000)

Stability check: which of them is least stable? two.

## one
DFT (GGA-PBE) results for a geometry-optimized SmErGe structure.

Summary:
The space-group type is No. 156.

a = 4.234 Å, b = 4.729 Å, c = 4.729 Å
α = 120.00°, β = 90.00°, γ = 90.00°
Atoms (fractional coordinates):
Ge (0.255, 0.333, 0.667)
Sm (0.633, 0.667, 0.333)
Er (0.112, 0.000, 0.000)

## two
DFT (GGA-PBE) results for a geometry-optimized SmErGe structure.

Summary:
The space-group type is No. 216.

a = 4.916 Å, b = 4.916 Å, c = 4.916 Å
α = 60.00°, β = 60.00°, γ = 60.00°
Atoms (fractional coordinates):
Ge (0.250, 0.250, 0.250)
Sm (0.500, 0.500, 0.500)
Er (0.000, 0.000, 0.000)

Stability check: which of them is least stable? one.

## one
DFT (GGA-PBE) results for a geometry-optimized SmErGe structure.

Summary:
The space-group type is No. 107.

a = 3.894 Å, b = 3.894 Å, c = 5.636 Å
α = 110.21°, β = 110.21°, γ = 90.00°
Atoms (fractional coordinates):
Ge (0.625, 0.625, 0.251)
Sm (0.963, 0.963, 0.926)
Er (0.262, 0.262, 0.523)

## two
DFT (GGA-PBE) results for a geometry-optimized SmErGe structure.

Summary:
The space-group type is No. 129.

a = 4.395 Å, b = 4.396 Å, c = 8.176 Å
α = 90.01°, β = 90.01°, γ = 90.00°
Atoms (fractional coordinates):
Sm (0.680, 0.526, 0.401)
Sm (0.180, 0.025, 0.692)
Er (0.680, 0.025, 0.047)
Er (0.180, 0.525, 0.046)
Ge (0.680, 0.525, 0.777)
Ge (0.180, 0.026, 0.316)

Stability check: which of them is least stable? one.

## one
DFT (GGA-PBE) results for a geometry-optimized SmErGe2 structure.

Summary:
The space-group type is No. 38.

a = 4.324 Å, b = 3.993 Å, c = 5.819 Å
α = 90.00°, β = 111.82°, γ = 90.00°
Atoms (fractional coordinates):
Sm (0.445, 0.500, 0.428)
Er (0.720, 0.000, 0.979)
Ge (0.168, 0.500, 0.875)
Ge (0.999, 0.000, 0.536)

## two
DFT (GGA-PBE) results for a geometry-optimized SmErGe2 structure.

Summary:
The space-group type is No. 166.

a = 4.622 Å, b = 4.622 Å, c = 5.979 Å
α = 67.26°, β = 67.26°, γ = 60.00°
Atoms (fractional coordinates):
Ge (0.756, 0.756, 0.732)
Ge (0.244, 0.244, 0.268)
Sm (0.000, 0.000, 0.000)
Er (0.500, 0.500, 0.500)

Stability check: which of them is least stable? two.

## one
DFT (GGA-PBE) results for a geometry-optimized SmErGe2 structure.

Summary:
The space-group type is No. 26.

a = 3.989 Å, b = 5.826 Å, c = 8.018 Å
α = 90.00°, β = 90.00°, γ = 90.00°
Atoms (fractional coordinates):
Sm (0.000, 0.132, 0.681)
Sm (0.000, 0.868, 0.181)
Er (0.500, 0.369, 0.319)
Er (0.500, 0.631, 0.819)
Ge (0.000, 0.606, 0.541)
Ge (0.000, 0.394, 0.041)
Ge (0.500, 0.892, 0.460)
Ge (0.500, 0.108, 0.960)

## two
DFT (GGA-PBE) results for a geometry-optimized SmErGe2 structure.

Summary:
The space-group type is No. 123.

a = 4.044 Å, b = 4.772 Å, c = 4.772 Å
α = 90.00°, β = 90.00°, γ = 90.00°
Atoms (fractional coordinates):
Ge (0.000, 0.000, 0.500)
Ge (0.000, 0.500, 0.000)
Sm (0.500, 0.500, 0.500)
Er (0.500, 0.000, 0.000)

Stability check: which of them is least stable? two.